(1)
## Lu4GaNiN2 (PBE-GGA)

Data for a geometry-optimized Lu4GaNiN2 structure.

Cell: 3.378 3.378 14.014 Å, 90.00 90.00 120.00°
Sites, in units of the cell vectors:
Ga: 0.000 0.000 0.500
Lu: 0.000 0.000 0.139
Lu: 0.333 0.667 0.331
Lu: 0.333 0.667 0.669
Lu: 0.000 0.000 0.861
N: 0.667 0.333 0.244
N: 0.667 0.333 0.756
Ni: 0.333 0.667 0.000

Values from the calculation:
Total energy   -51.529 eV for the cell shown
Crystal system   hexagonal


(2)
## GdDy2HoZn2 (PBE-GGA)

Data for a geometry-optimized GdDy2HoZn2 structure.

Cell: 5.200 8.377 8.377 Å, 24.84 90.00 90.00°
Sites, in units of the cell vectors:
Dy: 0.500 0.080 0.080
Dy: 0.000 0.920 0.920
Gd: 0.000 0.221 0.221
Ho: 0.500 0.780 0.780
Zn: 0.500 0.429 0.429
Zn: 0.000 0.570 0.570

Values from the calculation:
Total energy   -22.333 eV for the cell shown
Calculated formation energy   -0.228 eV/atom
Crystal system   orthorhombic


(3)
## GdTmMg6 (PBE-GGA)

Data for a geometry-optimized GdTmMg6 structure.

Cell: 5.166 7.334 5.166 Å, 90.00 90.00 90.00°
Sites, in units of the cell vectors:
Gd: 0.000 0.500 0.254
Mg: 0.500 0.246 0.245
Mg: 0.500 0.754 0.245
Mg: 0.000 0.000 0.254
Mg: 0.500 0.500 0.747
Mg: 0.000 0.246 0.755
Mg: 0.000 0.754 0.755
Tm: 0.500 0.000 0.746

Values from the calculation:
Total energy   -18.939 eV for the cell shown
Crystal system   orthorhombic